A plane-wave DFT calculation with PBE was carried out for K3Pd3RhO8 after structural relaxation.

E_form (uncorrected) ... -0.81 eV per atom
Fermi-level density of states ... 0.1785 states/eV per atom
Crystal system ... monoclinic

Cell: 6.6223 6.6223 6.9921 Å, 117.39 117.39 56.55°
With the nearest neighbours (Å) after each atom.
Sites, in units of the cell vectors:
K: 0.0000 0.0000 0.0000  6 O 2.68-2.95
K: 0.0000 0.5000 0.0000  6 O 2.65-2.73
K: 0.5000 0.0000 0.0000  6 O 2.65-2.73
Pd: 0.0000 0.5000 0.5000  4 O 2.09
Pd: 0.5000 0.0000 0.5000  4 O 2.09
Pd: 0.5000 0.5000 0.5000  6 O 2.05-2.11
Rh: 0.0000 0.0000 0.5000  6 O 2.05-2.07
O: 0.2067 0.2067 0.6492  1 Rh 2.07, 2 Pd 2.09
O: 0.2421 0.7420 0.6826  1 Pd 2.05, 1 Rh 2.05
O: 0.2580 0.7579 0.3174  1 Pd 2.05, 1 Rh 2.05
O: 0.2889 0.2889 0.3442  3 Pd 2.09-2.11
O: 0.7111 0.7111 0.6558  3 Pd 2.09-2.11
O: 0.7420 0.2421 0.6826  1 Pd 2.05, 1 Rh 2.05
O: 0.7579 0.2580 0.3174  1 Pd 2.05, 1 Rh 2.05
O: 0.7933 0.7933 0.3508  1 Rh 2.07, 2 Pd 2.09